Material: Li2ZnSb
Method: DFT, PBE-GGA
State: optimized geometry

Values from the calculation:
- raw total energy (hartree per atom) = -0.09648
- energy relative to the elements, uncorrected (meV/atom) = -319
- Fermi-level density of states (states/eV/f.u.) = 1.7
- total moment (Bohr magnetons per cell) = 0.000

a b c (Å): 5.039 5.039 5.039
angles (deg): 130.05 130.05 73.33
Atoms (fractional coordinates):
Li1 0.000 0.000 0.000
Li2 0.750 0.250 0.500
Zn1 0.250 0.750 0.500
Sb1 0.500 0.500 0.000

Material: Rb3AuS8
Method: DFT, PBE-GGA
State: optimized geometry

Values from the calculation:
- raw total energy (hartree per atom) = -0.13627
- energy relative to the elements, uncorrected (meV/atom) = -442
- Fermi-level density of states (states/eV/f.u.) = 6.6
- total moment (Bohr magnetons per cell) = 0.907

a b c (Å): 8.447 8.447 6.815
angles (deg): 109.02 109.02 105.63
Atoms (fractional coordinates):
Rb1 0.000 0.000 0.000
Rb2 0.277 0.771 0.528
Rb3 0.771 0.277 0.528
Au1 0.465 0.465 0.994
S1 0.044 0.044 0.538
S2 0.255 0.608 0.945
S3 0.258 0.258 0.586
S4 0.368 0.887 0.117
S5 0.608 0.255 0.945
S6 0.613 0.613 0.605
S7 0.688 0.688 0.386
S8 0.887 0.368 0.117

Material: Mn2CoBr
Method: DFT, PBE-GGA
State: optimized geometry

Values from the calculation:
- raw total energy (hartree per atom) = -0.21909
- energy relative to the elements, uncorrected (meV/atom) = 818
- Fermi-level density of states (states/eV/f.u.) = 5.2
- E above lowest polymorph (eV/atom) = 0.593
- total moment (Bohr magnetons per cell) = 0.015

a b c (Å): 4.712 4.712 4.099
angles (deg): 90.43 90.43 36.07
Atoms (fractional coordinates):
Mn1 0.221 0.221 0.187
Mn2 0.779 0.779 0.813
Co1 0.500 0.500 0.000
Br1 0.000 0.000 0.500

Material: BaPHCl2
Method: DFT, PBE-GGA
State: optimized geometry

Values from the calculation:
- raw total energy (hartree per atom) = -0.11121
- E above lowest polymorph (eV/atom) = 0.500
- total moment (Bohr magnetons per cell) = 4.004

a b c (Å): 5.968 5.968 7.704
angles (deg): 90.00 90.00 90.00
Atoms (fractional coordinates):
Ba1 0.000 0.000 0.000
P1 0.000 0.000 0.500
H1 0.500 0.500 0.500
Cl1 0.000 0.500 0.000
Cl2 0.500 0.000 0.000